Run w
First-principles (PBE) data for a relaxed NaYZn3 crystal, as listed in Alexandria. Values from VASP.

Cell and atoms, written as Quantum ESPRESSO input:
```
&SYSTEM
  ibrav = 0, nat = 5, ntyp = 3
/
ATOMIC_SPECIES
Zn 65.41 Zn.upf
Na 22.99 Na.upf
Y 88.91 Y.upf
CELL_PARAMETERS angstrom
-5.306 -1.675 -0.845
0.708 -4.134 3.752
-1.737 3.431 4.108
ATOMIC_POSITIONS crystal
Zn 0.000 0.500 0.000
Zn 0.500 0.000 0.000
Zn 0.000 0.000 0.500
Na 0.500 0.500 0.500
Y 0.000 0.000 0.000
```

Run x
First-principles (PBE) data for a relaxed NaYZn3 crystal, as listed in Alexandria. Values from VASP.

Cell and atoms, written as Quantum ESPRESSO input:
```
&SYSTEM
  ibrav = 0, nat = 5, ntyp = 3
/
ATOMIC_SPECIES
Zn 65.41 Zn.upf
Y 88.91 Y.upf
Na 22.99 Na.upf
CELL_PARAMETERS angstrom
4.850 0.000 0.000
0.000 4.850 0.000
0.000 0.000 4.850
ATOMIC_POSITIONS crystal
Zn 0.000 0.000 0.500
Zn 0.500 0.000 0.000
Zn 0.000 0.500 0.000
Y 0.500 0.500 0.500
Na 0.000 0.000 0.000
```

Pick run x: it beats the second-best structure by 11.9 kJ/mol of atoms.

Run w
First-principles (PBE) data for a relaxed NaY2Zr2 crystal, as listed in Alexandria. Values from VASP.

Cell and atoms, written as Quantum ESPRESSO input:
```
&SYSTEM
  ibrav = 0, nat = 10, ntyp = 3
/
ATOMIC_SPECIES
Zr 91.22 Zr.upf
Y 88.91 Y.upf
Na 22.99 Na.upf
CELL_PARAMETERS angstrom
-2.632 1.834 -8.810
-2.792 -8.893 -1.017
-3.086 0.843 1.097
ATOMIC_POSITIONS crystal
Zr 0.605 0.105 0.000
Zr 0.105 0.395 0.000
Zr 0.895 0.605 0.000
Zr 0.395 0.895 0.000
Y 0.813 0.313 0.500
Y 0.313 0.187 0.500
Y 0.187 0.687 0.500
Y 0.687 0.813 0.500
Na 0.500 0.500 0.000
Na 0.000 0.000 0.000
```

Run x
First-principles (PBE) data for a relaxed NaY2Zr2 crystal, as listed in Alexandria. Values from VASP.

Cell and atoms, written as Quantum ESPRESSO input:
```
&SYSTEM
  ibrav = 0, nat = 10, ntyp = 3
/
ATOMIC_SPECIES
Y 88.91 Y.upf
Na 22.99 Na.upf
Zr 91.22 Zr.upf
CELL_PARAMETERS angstrom
-7.826 5.321 -0.328
-1.407 -2.622 -8.990
-1.809 -2.596 1.040
ATOMIC_POSITIONS crystal
Y 0.184 0.316 0.000
Y 0.684 0.184 0.000
Y 0.816 0.684 0.000
Y 0.316 0.816 0.000
Na 0.000 0.000 0.000
Na 0.500 0.500 0.000
Zr 0.894 0.394 0.500
Zr 0.106 0.606 0.500
Zr 0.606 0.894 0.500
Zr 0.394 0.106 0.500
```

Pick run w: it beats the second-best structure by 3.6 kJ/mol of atoms.

Run w
First-principles (PBE) data for a relaxed NaYZr2 crystal, as listed in Alexandria. Values from VASP.

Cell and atoms, written as Quantum ESPRESSO input:
```
&SYSTEM
  ibrav = 0, nat = 4, ntyp = 3
/
ATOMIC_SPECIES
Y 88.91 Y.upf
Zr 91.22 Zr.upf
Na 22.99 Na.upf
CELL_PARAMETERS angstrom
0.445 -0.859 5.175
-4.176 0.634 3.143
-2.315 -4.195 2.181
ATOMIC_POSITIONS crystal
Y 0.500 0.500 0.500
Zr 0.750 0.750 0.750
Zr 0.250 0.250 0.250
Na 0.000 0.000 0.000
```

Run x
First-principles (PBE) data for a relaxed NaYZr2 crystal, as listed in Alexandria. Values from VASP.

Cell and atoms, written as Quantum ESPRESSO input:
```
&SYSTEM
  ibrav = 0, nat = 8, ntyp = 3
/
ATOMIC_SPECIES
Zr 91.22 Zr.upf
Na 22.99 Na.upf
Y 88.91 Y.upf
CELL_PARAMETERS angstrom
-4.246 0.027 0.340
0.139 -3.744 2.027
-1.206 3.668 11.333
ATOMIC_POSITIONS crystal
Zr 0.875 0.871 0.750
Zr 0.621 0.125 0.250
Zr 0.375 0.379 0.750
Zr 0.129 0.625 0.250
Na 0.500 0.500 0.000
Na 0.250 0.750 0.500
Y 0.750 0.250 0.500
Y 0.000 0.000 0.000
```

Pick run w: it beats the second-best structure by 4.2 kJ/mol of atoms.